Density functional theory data (PBE) for crystalline Pm2PrZn2Pb2 at its relaxed geometry.

## Properties
ΔE_f in meV/atom: -237

Structure (POSCAR):
```
Pm2PrZn2Pb2
1.0
2.4044 1.3882 9.6386
-2.4044 1.3882 9.6386
0.0000 -2.7763 9.6386
Pm Pr Zn Pb
2 1 2 2
Cartesian
0.0000 0.0000 3.8302 Pm
0.0000 0.0000 25.0855 Pm
0.0000 0.0000 0.0000 Pr
0.0000 0.0000 12.3324 Zn
0.0000 0.0000 16.5834 Zn
0.0000 0.0000 7.7702 Pb
0.0000 0.0000 21.1456 Pb
```



Density functional theory data (PBE) for crystalline Sr5SiGe2 at its relaxed geometry.

## Properties
Uncorrected formation energy in kJ/mol of formula units: -378

Structure (POSCAR):
```
Sr5SiGe2
1.0
-4.0689 4.0689 7.9544
4.0689 -4.0689 7.9544
4.0689 4.0689 -7.9544
Sr Si Ge
10 2 4
Cartesian
0.0000 0.0000 0.0000 Sr
5.5225 1.4536 -2.2567 Sr
1.4536 2.6154 -2.2567 Sr
5.5225 1.4536 2.2567 Sr
1.4536 2.6154 2.2567 Sr
0.0000 0.0000 7.9544 Sr
2.6154 1.4536 5.6977 Sr
-1.4536 2.6154 5.6977 Sr
2.6154 1.4536 10.2111 Sr
-1.4536 2.6154 10.2111 Sr
0.0000 0.0000 3.9772 Si
0.0000 0.0000 11.9316 Si
3.1450 0.9239 0.0000 Ge
3.1450 -0.9239 7.9544 Ge
0.9239 4.9929 0.0000 Ge
0.9239 3.1450 7.9544 Ge
```



Density functional theory data (PBE) for crystalline CrBiPd2 at its relaxed geometry.

## Properties
ΔE_f in meV/atom: 218

Structure (POSCAR):
```
CrBiPd2
1.0
-2.0270 2.0270 9.4492
2.0270 -2.0270 9.4492
2.0270 2.0270 -9.4492
Cr Bi Pd
2 2 4
Cartesian
0.0000 0.0000 0.0000 Cr
0.0000 2.0270 4.7246 Cr
2.0270 0.0000 4.7246 Bi
0.0000 0.0000 9.4492 Bi
3.0406 0.9628 -2.3623 Pd
0.9628 1.0135 2.3623 Pd
-1.0135 1.0642 7.0869 Pd
1.0642 1.0135 11.8115 Pd
```



Density functional theory data (PBE) for crystalline ScBe3 at its relaxed geometry.

## Properties
ΔE_f in meV/atom: 525
Energy relative to the lowest polymorph listed for this composition in meV per atom: 659

Structure (POSCAR):
```
ScBe3
1.0
4.6850 0.0000 0.0000
0.0000 4.6850 0.0000
0.0000 0.0000 4.6850
Sc Be
2 6
Cartesian
0.0000 0.0000 0.0000 Sc
2.3425 2.3425 2.3425 Sc
0.0000 1.1713 2.3425 Be
0.0000 3.5138 2.3425 Be
1.1713 2.3425 0.0000 Be
2.3425 0.0000 1.1713 Be
2.3425 0.0000 3.5138 Be
3.5138 2.3425 0.0000 Be
```



Density functional theory data (PBE) for crystalline Tb3Hf12In5 at its relaxed geometry.

## Properties
ΔE_f in meV/atom: 1009

Structure (POSCAR):
```
Tb3Hf12In5
1.0
-8.6290 8.6290 8.6290
8.6290 -8.6290 8.6290
8.6290 8.6290 -8.6290
Tb Hf In
12 48 20
Cartesian
4.3145 2.1573 0.0000 Tb
8.6290 4.3145 -2.1573 Tb
2.1573 0.0000 4.3145 Tb
10.7863 0.0000 4.3145 Tb
0.0000 4.3145 2.1573 Tb
4.3145 -2.1573 8.6290 Tb
4.3145 10.7863 0.0000 Tb
8.6290 4.3145 6.4718 Tb
-2.1573 8.6290 4.3145 Tb
6.4718 8.6290 4.3145 Tb
0.0000 4.3145 10.7863 Tb
4.3145 6.4718 8.6290 Tb
8.6315 -1.3086 2.5364 Hf
12.9411 -1.7781 3.0060 Hf
2.5364 0.0025 1.3086 Hf
10.4071 5.6231 -4.3121 Hf
11.1654 -0.0025 1.3086 Hf
10.4071 -3.0060 4.3121 Hf
1.3086 2.5364 0.0025 Hf
5.6231 4.3121 -1.7781 Hf
7.3205 2.5364 -0.0025 Hf
11.6350 4.3170 -1.7781 Hf
0.0025 1.3086 2.5364 Hf
4.3121 -1.7781 5.6231 Hf
8.6315 7.3205 -2.5364 Hf
4.3121 1.7781 3.0060 Hf
3.0060 4.3121 1.7781 Hf
9.9376 6.0926 -0.0025 Hf
7.3205 -2.5364 8.6315 Hf
5.6231 -4.3121 10.4071 Hf
2.5364 8.6315 -1.3086 Hf
1.7781 3.0060 4.3121 Hf
2.5364 -0.0025 7.3205 Hf
10.4071 3.0060 4.3170 Hf
4.3121 10.4071 -3.0060 Hf
8.6315 1.3086 6.0926 Hf
-0.0025 7.3205 2.5364 Hf
4.3170 -1.7781 11.6350 Hf
-1.7781 5.6231 4.3121 Hf
6.0926 8.6315 1.3086 Hf
6.8509 5.6231 4.3170 Hf
6.0926 -0.0025 9.9376 Hf
3.0060 12.9411 -1.7781 Hf
1.3086 11.1654 -0.0025 Hf
-1.3086 2.5364 8.6315 Hf
5.6231 4.3170 6.8509 Hf
4.3170 6.8509 5.6231 Hf
-0.0025 1.3086 11.1654 Hf
4.3170 10.4071 3.0060 Hf
8.6266 7.3205 6.0926 Hf
-3.0060 4.3121 10.4071 Hf
1.3086 6.0926 8.6315 Hf
3.0060 4.3170 10.4071 Hf
7.3205 6.0926 8.6266 Hf
-1.7781 11.6350 4.3170 Hf
-2.5364 8.6315 7.3205 Hf
-1.7781 3.0060 12.9411 Hf
6.0926 8.6266 7.3205 Hf
-4.3121 10.4071 5.6231 Hf
-0.0025 9.9376 6.0926 Hf
0.0000 0.0000 0.0000 In
4.3145 4.3145 -4.3145 In
4.3145 -4.3145 4.3145 In
8.6290 0.0000 0.0000 In
12.9435 2.1573 0.0000 In
8.6290 -4.3145 6.4718 In
6.4718 8.6290 -4.3145 In
6.4718 0.0000 4.3145 In
4.3145 6.4718 0.0000 In
8.6290 4.3145 2.1573 In
-4.3145 4.3145 4.3145 In
0.0000 8.6290 0.0000 In
0.0000 0.0000 8.6290 In
4.3145 4.3145 4.3145 In
0.0000 4.3145 6.4718 In
4.3145 2.1573 8.6290 In
2.1573 8.6290 4.3145 In
2.1573 0.0000 12.9435 In
0.0000 12.9435 2.1573 In
-4.3145 6.4718 8.6290 In
```



Density functional theory data (PBE) for crystalline BaBrCl2 at its relaxed geometry.

## Properties
Energy relative to the lowest polymorph listed for this composition in meV per atom: 157
Uncorrected formation energy in kJ/mol of formula units: -597

Structure (POSCAR):
```
BaBrCl2
1.0
4.7876 0.0000 0.0000
0.0000 4.7876 0.0000
0.0000 0.0000 5.7503
Ba Br Cl
1 1 2
Cartesian
0.0000 0.0000 0.0000 Ba
2.3938 2.3938 1.4483 Br
0.0000 0.0000 2.8861 Cl
2.3938 2.3938 4.4011 Cl
```